This record from Alexandria describes a relaxed K3AsO4 crystal. The functional is PBE-GGA.

Summary:
- VASP energy (eV/atom) = -5.174
- raw formation energy (eV per atom) = -1.702
- calculated volume (Å³ per atom) = 18.7
- excess energy over the best structure of this formula in the dataset (eV per atom) = 0.000

Unit cell a=7.884 b=8.585 c=8.818 alpha=90.00 beta=90.00 gamma=90.00
Sites, in units of the cell vectors:
K1 0.038 0.021 0.227
K2 0.038 0.479 0.227
K3 0.176 0.750 0.494
K4 0.324 0.250 0.994
K5 0.462 0.521 0.727
K6 0.462 0.979 0.727
K7 0.538 0.021 0.273
K8 0.538 0.479 0.273
K9 0.676 0.750 0.006
K10 0.824 0.250 0.506
K11 0.962 0.521 0.773
K12 0.962 0.979 0.773
As1 0.221 0.750 0.986
As2 0.279 0.250 0.486
As3 0.721 0.750 0.514
As4 0.779 0.250 0.014
O1 0.014 0.750 0.053
O2 0.176 0.084 0.546
O3 0.176 0.416 0.546
O4 0.216 0.750 0.789
O5 0.284 0.250 0.289
O6 0.324 0.584 0.046
O7 0.324 0.916 0.046
O8 0.486 0.250 0.553
O9 0.514 0.750 0.447
O10 0.676 0.084 0.954
O11 0.676 0.416 0.954
O12 0.716 0.750 0.711
O13 0.784 0.250 0.211
O14 0.824 0.584 0.454
O15 0.824 0.916 0.454
O16 0.986 0.250 0.947

---

This record from Alexandria describes a relaxed AcPmPr2Ho5 crystal. The functional is PBE-GGA.

Summary:
- VASP energy (eV/atom) = -4.344
- calculated volume (Å³ per atom) = 34.2
- ΔE_f (eV/atom) = 0.25

Unit cell a=10.071 b=10.071 c=10.071 alpha=128.02 beta=128.02 gamma=76.59
Sites, in units of the cell vectors:
Ac1 0.250 0.250 0.000
Ac2 0.750 0.750 0.000
Pm1 0.250 0.750 0.500
Pm2 0.750 0.250 0.500
Pr1 0.118 0.618 0.736
Pr2 0.382 0.118 0.500
Pr3 0.618 0.882 0.500
Pr4 0.882 0.382 0.264
Ho1 0.000 0.000 0.000
Ho2 0.073 0.159 0.500
Ho3 0.159 0.659 0.086
Ho4 0.341 0.427 0.500
Ho5 0.427 0.927 0.086
Ho6 0.500 0.500 0.000
Ho7 0.573 0.073 0.914
Ho8 0.659 0.573 0.500
Ho9 0.841 0.341 0.914
Ho10 0.927 0.841 0.500

---

This record from Alexandria describes a relaxed CeTmPu2Se4 crystal. The functional is PBE-GGA.

Summary:
- VASP energy (eV/atom) = -8.276
- raw formation energy (eV per atom) = -1.650
- calculated volume (Å³ per atom) = 24.9

Unit cell a=7.142 b=4.118 c=7.180 alpha=90.00 beta=109.25 gamma=90.00
Sites, in units of the cell vectors:
Ce1 0.000 0.000 0.000
Tm1 0.000 0.500 0.500
Pu1 0.500 0.000 0.500
Pu2 0.500 0.500 0.000
Se1 0.245 0.000 0.741
Se2 0.251 0.500 0.258
Se3 0.749 0.500 0.742
Se4 0.755 0.000 0.259

---

This record from Alexandria describes a relaxed PaVIr crystal. The functional is PBE-GGA.

Summary:
- VASP energy (eV/atom) = -9.380
- calculated volume (Å³ per atom) = 18.0
- ΔE_f (eV/atom) = -0.22
- excess energy over the best structure of this formula in the dataset (eV per atom) = 0.000

Unit cell a=7.327 b=2.948 c=9.990 alpha=90.00 beta=90.00 gamma=90.00
Sites, in units of the cell vectors:
Pa1 0.197 0.250 0.105
Pa2 0.303 0.750 0.605
Pa3 0.697 0.250 0.395
Pa4 0.803 0.750 0.895
V1 0.060 0.250 0.396
V2 0.440 0.750 0.896
V3 0.560 0.250 0.104
V4 0.940 0.750 0.604
Ir1 0.128 0.250 0.819
Ir2 0.372 0.750 0.319
Ir3 0.628 0.250 0.681
Ir4 0.872 0.750 0.181

---

This record from Alexandria describes a relaxed CsLiNb3 crystal. The functional is PBE-GGA.

Summary:
- VASP energy (eV/atom) = -4.698
- calculated volume (Å³ per atom) = 21.6
- ΔE_f (eV/atom) = 1.90
- excess energy over the best structure of this formula in the dataset (eV per atom) = 0.000

Unit cell a=4.762 b=4.762 c=4.762 alpha=90.00 beta=90.00 gamma=90.00
Sites, in units of the cell vectors:
Cs1 0.000 0.000 0.000
Li1 0.500 0.500 0.500
Nb1 0.000 0.500 0.500
Nb2 0.500 0.000 0.500
Nb3 0.500 0.500 0.000

---

This record from Alexandria describes a relaxed LiCu2P crystal. The functional is PBE-GGA.

Summary:
- VASP energy (eV/atom) = -3.886
- calculated volume (Å³ per atom) = 12.7
- ΔE_f (eV/atom) = -0.01

Unit cell a=3.109 b=3.109 c=5.251 alpha=90.00 beta=90.00 gamma=90.00
Sites, in units of the cell vectors:
Li1 0.000 0.000 0.000
Cu1 0.500 0.500 0.257
Cu2 0.500 0.500 0.743
P1 0.000 0.000 0.500